Entry 1:
The following is a PBEsol calculation of an optimized crystal structure of CaAl2H8, from the Alexandria database.

The energy above the most stable polymorph in this dataset is 0 meV per atom.

It has space group P2_1/c (No. 14), with a = 4.0006 Å, b = 11.4354 Å, c = 4.2927 Å, α = 90.00°, β = 91.13° and γ = 90.00°. Symmetry generates all atoms from Ca at (0.0000, 0.0000, 0.0000), Al at (0.3427, 0.1820, 0.3996), H at (0.0501, 0.0904, 0.5280), H at (0.0981, 0.1995, 0.0519), H at (0.4184, 0.7025, 0.7658) and H at (0.4738, 0.5711, 0.2959).

Entry 2:
The following is a PBEsol calculation of an optimized crystal structure of ZrCoCu, from the Alexandria database.

The calculation puts the formation energy at 564.7 meV/atom.

It has space group F-43m (No. 216), with a = 5.8927 Å, b = 5.8927 Å, c = 5.8927 Å, α = 90.00°, β = 90.00° and γ = 90.00°. Symmetry generates all atoms from Zr at (0.0000, 0.0000, 0.0000), Co at (0.2500, 0.2500, 0.2500) and Cu at (0.2500, 0.2500, 0.7500).

Entry 3:
The following is a PBEsol calculation of an optimized crystal structure of CoIr2Rh, from the Alexandria database.

The energy above the most stable polymorph in this dataset is 41 meV per atom. The calculation puts the formation energy at 43.8 meV/atom.

It has space group P4/mmm (No. 123), with a = 3.7411 Å, b = 3.7411 Å, c = 3.7156 Å, α = 90.00°, β = 90.00° and γ = 90.00°. Symmetry generates all atoms from Co at (0.0000, 0.0000, 0.0000), Ir at (0.0000, 0.5000, 0.5000) and Rh at (0.5000, 0.5000, 0.0000).

Entry 4:
The following is a PBEsol calculation of an optimized crystal structure of Cu2SiTe, from the Alexandria database.

The energy above the most stable polymorph in this dataset is 0 meV per atom.

It has space group Cmmm (No. 65), with a = 5.4365 Å, b = 6.7774 Å, c = 3.5601 Å, α = 90.00°, β = 90.00° and γ = 90.00°. Symmetry generates all atoms from Cu at (0.2500, 0.2500, 0.0000), Si at (0.0000, 0.0000, 0.5000) and Te at (0.0000, 0.5000, 0.5000).

Entry 5:
The following is a PBEsol calculation of an optimized crystal structure of Er2As7Rh12, from the Alexandria database.

The calculation puts the formation energy at -710.9 meV/atom.

It has space group P3 (No. 143), with a = 9.8333 Å, b = 9.8333 Å, c = 3.8474 Å, α = 90.00°, β = 90.00° and γ = 120.00°. Symmetry generates all atoms from Er at (0.0000, 0.0000, 0.0000), Er at (0.3333, 0.6667, 0.4927), As at (0.0734, 0.6213, 0.9958), As at (0.2599, 0.0454, 0.4967), As at (0.6667, 0.3333, 0.7448), Rh at (0.0479, 0.7807, 0.4973), Rh at (0.1141, 0.3995, 0.9952), Rh at (0.4033, 0.2188, 0.0016) and Rh at (0.5176, 0.0697, 0.4909).

Entry 6:
The following is a PBEsol calculation of an optimized crystal structure of CsRb2ReB, from the Alexandria database.

The calculation puts the formation energy at 1250.6 meV/atom.

It has space group P4/mmm (No. 123), with a = 6.5436 Å, b = 6.5436 Å, c = 4.1883 Å, α = 90.00°, β = 90.00° and γ = 90.00°. Symmetry generates all atoms from Cs at (0.0000, 0.0000, 0.0000), Rb at (0.0000, 0.5000, 0.5000), Re at (0.5000, 0.5000, 0.5000) and B at (0.5000, 0.5000, 0.0000).

Entry 7:
The following is a PBEsol calculation of an optimized crystal structure of BePCl2F, from the Alexandria database.

Its total energy is -3.2252 eV/atom.

It has space group P4/mmm (No. 123), with a = 4.1734 Å, b = 4.1734 Å, c = 4.5258 Å, α = 90.00°, β = 90.00° and γ = 90.00°. Symmetry generates all atoms from Be at (0.0000, 0.0000, 0.0000), P at (0.0000, 0.0000, 0.5000), Cl at (0.0000, 0.5000, 0.0000) and F at (0.5000, 0.5000, 0.5000).

Entry 8:
The following is a PBEsol calculation of an optimized crystal structure of BaY2Sb, from the Alexandria database.

Its total energy is -5.2355 eV/atom.

It has space group F-43m (No. 216), with a = 7.9056 Å, b = 7.9056 Å, c = 7.9056 Å, α = 90.00°, β = 90.00° and γ = 90.00°. Symmetry generates all atoms from Ba at (0.0000, 0.0000, 0.0000), Y at (0.0000, 0.0000, 0.5000), Y at (0.2500, 0.2500, 0.2500) and Sb at (0.2500, 0.2500, 0.7500).